Entry 1:
Density functional theory data (PBE) for an optimized crystal structure of RbNa2Sc.

a = 3.608 Å, b = 3.608 Å, c = 14.284 Å
α = 82.75°, β = 82.75°, γ = 60.00°
Site moments in Bohr magnetons follow the coordinates.
Positions (direct):
Rb (0.500, 0.500, 0.500)  0.00
Sc (0.000, 0.000, 0.000)  0.37
Na (0.078, 0.078, 0.767)  0.00
Na (0.922, 0.922, 0.233)  0.00

energy: -1.99 eV/atom
formation energy: 0.49 eV/atom
N(E_F): 1.314 states/eV per atom

***

Entry 2:
Density functional theory data (PBE) for an optimized crystal structure of Pu3PtAu2.

a = 3.484 Å, b = 3.484 Å, c = 11.448 Å
α = 90.00°, β = 90.00°, γ = 90.00°
Site moments in Bohr magnetons follow the coordinates.
Positions (direct):
Pt (0.500, 0.500, 0.500)  -0.07
Au (0.500, 0.500, 0.829)  0.05
Au (0.500, 0.500, 0.171)  0.05
Pu (0.000, 0.000, 0.652)  5.35
Pu (0.000, 0.000, 0.000)  5.48
Pu (0.000, 0.000, 0.348)  5.35

energy: -9.78 eV/atom
formation energy: -0.51 eV/atom
N(E_F): 4.310 states/eV per atom

***

Entry 3:
Density functional theory data (PBE) for an optimized crystal structure of HfTiNF2.

a = 4.132 Å, b = 4.132 Å, c = 4.252 Å
α = 90.00°, β = 90.00°, γ = 90.00°
Site moments in Bohr magnetons follow the coordinates.
Positions (direct):
Hf (0.000, 0.000, 0.000)  0.17
F (0.000, 0.500, 0.000)  0.04
F (0.500, 0.000, 0.000)  0.04
N (0.000, 0.000, 0.500)  -0.05
Ti (0.500, 0.500, 0.500)  2.09

energy: -7.46 eV/atom
N(E_F): 0.721 states/eV per atom
ΔE_f (raw): -1.480 eV/atom

***

Entry 4:
Density functional theory data (PBE) for an optimized crystal structure of Y5Mg.

a = 3.601 Å, b = 3.601 Å, c = 14.299 Å
α = 90.00°, β = 90.00°, γ = 90.00°
Positions (direct):
Mg (0.500, 0.500, 0.833)
Y (0.500, 0.500, 0.509)
Y (0.000, 0.000, 0.683)
Y (0.000, 0.000, 0.983)
Y (0.000, 0.000, 0.333)
Y (0.500, 0.500, 0.157)

energy: -5.67 eV/atom
formation energy: -0.02 eV/atom
N(E_F): 1.584 states/eV per atom

***

Entry 5:
Density functional theory data (PBE) for an optimized crystal structure of Ce5HgOs2.

a = 7.823 Å, b = 7.823 Å, c = 8.646 Å
α = 116.90°, β = 116.90°, γ = 90.00°
Site moments in Bohr magnetons follow the coordinates.
Positions (direct):
Ce (0.023, 0.523, 0.728)  0.42
Ce (0.977, 0.477, 0.272)  0.42
Ce (0.705, 0.205, 0.728)  0.42
Ce (0.295, 0.795, 0.272)  0.42
Ce (0.000, 0.000, 0.000)  0.21
Ce (0.205, 0.023, 0.728)  0.42
Ce (0.523, 0.705, 0.728)  0.42
Ce (0.795, 0.977, 0.272)  0.42
Ce (0.477, 0.295, 0.272)  0.42
Ce (0.500, 0.500, 0.000)  0.21
Os (0.361, 0.861, 0.000)  -0.07
Os (0.861, 0.639, 0.000)  -0.07
Os (0.139, 0.361, 0.000)  -0.07
Os (0.639, 0.139, 0.000)  -0.07
Hg (0.750, 0.750, 0.500)  0.01
Hg (0.250, 0.250, 0.500)  0.01

energy: -6.80 eV/atom
formation energy: -0.25 eV/atom
N(E_F): 2.596 states/eV per atom

***

Entry 6:
Density functional theory data (PBE) for an optimized crystal structure of Pr4YSn2.

a = 5.543 Å, b = 5.543 Å, c = 9.954 Å
α = 73.83°, β = 73.83°, γ = 60.00°
Positions (direct):
Pr (0.280, 0.280, 0.160)
Pr (0.720, 0.720, 0.840)
Pr (0.876, 0.876, 0.373)
Pr (0.124, 0.124, 0.627)
Y (0.500, 0.500, 0.500)
Sn (0.607, 0.607, 0.180)
Sn (0.393, 0.393, 0.820)

energy: -5.06 eV/atom
formation energy: -0.26 eV/atom
N(E_F): 1.313 states/eV per atom

***

Entry 7:
Density functional theory data (PBE) for an optimized crystal structure of TiSiIO2.

a = 3.692 Å, b = 5.637 Å, c = 3.692 Å
α = 90.00°, β = 90.00°, γ = 90.00°
Positions (direct):
O (0.500, 0.000, 0.000)
O (0.000, 0.000, 0.500)
Si (0.000, 0.000, 0.000)
I (0.500, 0.500, 0.500)
Ti (0.000, 0.500, 0.000)

energy: -5.53 eV/atom
N(E_F): 0.730 states/eV per atom
ΔE_f (raw): -0.572 eV/atom

***

Entry 8:
Density functional theory data (PBE) for an optimized crystal structure of Dy2HoTm3As6.

a = 4.088 Å, b = 8.173 Å, c = 9.138 Å
α = 102.88°, β = 102.93°, γ = 90.00°
Positions (direct):
Dy (0.833, 0.667, 0.667)
Dy (0.167, 0.333, 0.333)
As (0.001, 0.749, 0.002)
As (0.334, 0.415, 0.668)
As (0.666, 0.585, 0.332)
As (0.333, 0.919, 0.666)
As (0.999, 0.251, 0.998)
As (0.667, 0.081, 0.334)
Ho (0.500, 0.000, 0.000)
Tm (0.833, 0.167, 0.666)
Tm (0.167, 0.833, 0.334)
Tm (0.500, 0.500, 0.000)

energy: -6.11 eV/atom
formation energy: -1.52 eV/atom
N(E_F): 0.154 states/eV per atom